La3Fe5O12: relaxed, GGA+U.

Cell: 12.914 12.914 12.914 Å, 90.00 90.00 90.00°
Space group Ia-3d (No. 230)
Symmetry-distinct sites (fractional):
La1 0.000 0.250 0.125 [24 per cell]
Fe1 0.000 0.000 0.000 [16 per cell]
Fe2 0.000 0.250 0.375 [24 per cell]
O1 0.030 0.052 0.651 [96 per cell]

Results
Total magnetization in μB per cell: 167.6
Final energy in eV/atom: -7.26
D(E_F) in states/eV per atom: 0.316